Density functional theory data (PBE-GGA) for an optimized crystal structure of Ta3VFe.

The structure in CIF format:
```
data_Ta3VFe
_symmetry_space_group_name_H-M 'P m -3 m'
_symmetry_Int_Tables_number 221
_symmetry_space_group_name_Hall '-P 4 2 3'
_cell_length_a 4.6083
_cell_length_b 4.6083
_cell_length_c 4.6083
_cell_angle_alpha 90.00
_cell_angle_beta 90.00
_cell_angle_gamma 90.00
loop_
_atom_site_label
_atom_site_fract_x
_atom_site_fract_y
_atom_site_fract_z
Ta1 0.0000 0.0000 0.5000
V1 0.0000 0.0000 0.0000
Fe1 0.5000 0.5000 0.5000
```

Summary:
Volume, Å³/f.u.: 97.9
Calculated formation energy, meV per atom: 1387
ΔE to the lowest computed polymorph, eV per atom: 0.502
Raw total energy, eV per cell: -46.2


Density functional theory data (PBE-GGA) for an optimized crystal structure of Hg2HI.

The structure in CIF format:
```
data_Hg2HI
_symmetry_space_group_name_H-M 'I -4 2 d'
_symmetry_Int_Tables_number 122
_symmetry_space_group_name_Hall 'I -4 2bw'
_cell_length_a 5.4897
_cell_length_b 5.4897
_cell_length_c 13.8776
_cell_angle_alpha 90.00
_cell_angle_beta 90.00
_cell_angle_gamma 90.00
loop_
_atom_site_label
_atom_site_fract_x
_atom_site_fract_y
_atom_site_fract_z
Hg1 0.0609 0.2500 0.1250
H1 0.0000 0.0000 0.0000
I1 0.0000 0.0000 0.5000
```

Summary:
Volume, Å³/f.u.: 104.6
ΔE to the lowest computed polymorph, eV per atom: 0.000
Raw total energy, eV per cell: -18.9


Density functional theory data (PBE-GGA) for an optimized crystal structure of FeCuP2.

The structure in CIF format:
```
data_FeCuP2
_symmetry_space_group_name_H-M 'I -4 2 d'
_symmetry_Int_Tables_number 122
_symmetry_space_group_name_Hall 'I -4 2bw'
_cell_length_a 5.2459
_cell_length_b 5.2459
_cell_length_c 9.7016
_cell_angle_alpha 90.00
_cell_angle_beta 90.00
_cell_angle_gamma 90.00
loop_
_atom_site_label
_atom_site_fract_x
_atom_site_fract_y
_atom_site_fract_z
Fe1 0.0000 0.0000 0.0000
Cu1 0.0000 0.0000 0.5000
P1 0.2223 0.2500 0.1250
```

Summary:
Volume, Å³/f.u.: 66.7
Calculated formation energy, meV per atom: 59
Raw total energy, eV per cell: -92.6


Density functional theory data (PBE-GGA) for an optimized crystal structure of NdEu2Ga.

The structure in CIF format:
```
data_NdEu2Ga
_symmetry_space_group_name_H-M 'R -3 m'
_symmetry_Int_Tables_number 166
_symmetry_space_group_name_Hall '-R 3 2"'
_cell_length_a 3.7232
_cell_length_b 3.7232
_cell_length_c 33.2494
_cell_angle_alpha 90.00
_cell_angle_beta 90.00
_cell_angle_gamma 120.00
loop_
_atom_site_label
_atom_site_fract_x
_atom_site_fract_y
_atom_site_fract_z
Nd1 0.0000 0.0000 0.0000
Eu1 0.0000 0.0000 0.2372
Ga1 0.0000 0.0000 0.5000
```

Summary:
Volume, Å³/f.u.: 133.1
Calculated formation energy, meV per atom: -93
ΔE to the lowest computed polymorph, eV per atom: 0.089
Raw total energy, eV per cell: -86.2